(1)
VASP calculation (PBE) on a geometry-optimized CoCuIr2 structure.

Cell: 4.5074 4.5074 4.5074 Å, 130.48 130.48 72.64°
With the nearest neighbours (Å) after each atom.
Atoms (fractional coordinates):
Co1 0.2500 0.7500 0.5000  8 Ir 2.62, 4 Cu 2.67
Ir1 0.5000 0.5000 0.0000  4 Co 2.62, 4 Cu 2.62, 4 Ir 2.67
Cu1 0.7500 0.2500 0.5000  8 Ir 2.62, 4 Co 2.67
Ir2 0.0000 0.0000 0.0000  4 Cu 2.62, 4 Co 2.62, 4 Ir 2.67

Results
N(E_F) (states/eV/f.u.): 3.63
Calculated volume (Å³/atom): 12.9
Energy (eV per atom): -7.086
Energy above the lowest structure with this stoichiometry (eV/atom): 0.077


(2)
VASP calculation (PBE) on a geometry-optimized Co2CuIr structure.

Cell: 4.4560 4.4560 2.6120 Å, 90.01 90.01 108.86°
With the nearest neighbours (Å) after each atom.
Atoms (fractional coordinates):
Ir1 0.0000 0.5000 0.5000  8 Co 2.58, 2 Cu 2.59, 2 Ir 2.61
Cu1 0.5000 0.0000 0.5000  8 Co 2.58, 2 Ir 2.59, 2 Cu 2.61
Co1 0.5000 0.5000 0.0000  4 Ir 2.58, 4 Cu 2.58, 4 Co 2.59-2.61
Co2 0.0000 0.0000 0.0000  4 Cu 2.58, 4 Ir 2.58, 4 Co 2.59-2.61

Results
N(E_F) (states/eV/f.u.): 4.84
Calculated volume (Å³/atom): 12.3
Energy (eV per atom): -6.694


(3)
VASP calculation (PBE) on a geometry-optimized Co2CuIr structure.

Cell: 2.6178 3.6424 5.1278 Å, 90.00 90.00 90.00°
With the nearest neighbours (Å) after each atom.
Atoms (fractional coordinates):
Cu1 0.5000 0.5000 0.2500  2 Ir 2.56, 8 Co 2.58, 2 Cu 2.62
Co1 0.0000 0.0000 0.4971  4 Co 2.53-2.62, 4 Cu 2.58, 4 Ir 2.59
Ir1 0.5000 0.5000 0.7500  2 Cu 2.56, 8 Co 2.59, 2 Ir 2.62
Co2 0.0000 0.0000 0.0029  4 Co 2.53-2.62, 4 Cu 2.58, 4 Ir 2.59

Results
N(E_F) (states/eV/f.u.): 5.45
Calculated volume (Å³/atom): 12.2
Energy (eV per atom): -6.682


(4)
VASP calculation (PBE) on a geometry-optimized CoCu2Ir structure.

Cell: 4.1390 4.1390 4.1390 Å, 60.00 60.00 60.00°
With the nearest neighbours (Å) after each atom.
Atoms (fractional coordinates):
Cu1 0.7500 0.7500 0.7500  4 Ir 2.53, 4 Co 2.53
Cu2 0.2500 0.2500 0.2500  4 Co 2.53, 4 Ir 2.53
Ir1 0.5000 0.5000 0.5000  8 Cu 2.53
Co1 0.0000 0.0000 0.0000  8 Cu 2.53

Results
N(E_F) (states/eV/f.u.): 2.66
Calculated volume (Å³/atom): 12.5
Energy (eV per atom): -5.782
Energy above the lowest structure with this stoichiometry (eV/atom): 0.163


(5)
VASP calculation (PBE) on a geometry-optimized CoCu2Ir structure.

Cell: 3.6366 2.6401 5.8381 Å, 63.35 90.00 90.00°
With the nearest neighbours (Å) after each atom.
Atoms (fractional coordinates):
Cu1 0.5000 0.2612 0.2383  6 Cu 2.55-2.64, 2 Co 2.61, 4 Ir 2.67-2.68
Co1 0.5000 0.7626 0.7379  4 Ir 2.53, 6 Cu 2.61-2.66, 2 Co 2.64
Cu2 0.0000 0.9922 0.0077  6 Cu 2.55-2.64, 2 Ir 2.57-2.65, 4 Co 2.65-2.66
Ir1 0.0000 0.4840 0.5160  4 Co 2.53, 6 Cu 2.57-2.68, 2 Ir 2.64

Results
N(E_F) (states/eV/f.u.): 3.97
Calculated volume (Å³/atom): 12.5
Energy (eV per atom): -5.937
Energy above the lowest structure with this stoichiometry (eV/atom): 0.008


(6)
VASP calculation (PBE) on a geometry-optimized CoCuIr structure.

Cell: 4.5235 4.5235 4.5235 Å, 145.79 132.48 59.85°
With the nearest neighbours (Å) after each atom.
Atoms (fractional coordinates):
Co1 0.0033 0.0033 0.0000  5 Ir 2.58-2.67, 5 Cu 2.60-2.62, 2 Co 2.66
Cu1 0.3344 0.3344 0.0000  5 Ir 2.57-2.63, 5 Co 2.60-2.62, 2 Cu 2.66
Ir1 0.6622 0.6622 0.0000  5 Cu 2.57-2.63, 5 Co 2.58-2.67, 2 Ir 2.66

Results
N(E_F) (states/eV/f.u.): 3.04
Calculated volume (Å³/atom): 12.7
Energy (eV per atom): -6.572
Energy above the lowest structure with this stoichiometry (eV/atom): 0.015


(7)
VASP calculation (PBE) on a geometry-optimized CoCuIr2 structure.

Cell: 5.0321 5.0321 5.0321 Å, 147.70 129.14 61.54°
With the nearest neighbours (Å) after each atom.
Atoms (fractional coordinates):
Ir1 0.7414 0.2414 0.5000  2 Co 2.56, 4 Cu 2.58, 4 Ir 2.67-2.80
Cu1 0.2596 0.7596 0.5000  2 Co 2.46, 6 Ir 2.58-2.61
Co1 0.4940 0.4940 0.0000  2 Cu 2.46, 6 Ir 2.56-2.58
Ir2 0.0050 0.0050 0.0000  4 Co 2.58, 2 Cu 2.61, 4 Ir 2.67-2.80

Results
N(E_F) (states/eV/f.u.): 5.05
Calculated volume (Å³/atom): 13.1
Energy (eV per atom): -7.019
Energy above the lowest structure with this stoichiometry (eV/atom): 0.144


(8)
VASP calculation (PBE) on a geometry-optimized CoCuIr2 structure.

Cell: 4.5365 4.5365 2.6755 Å, 90.00 90.00 107.71°
With the nearest neighbours (Å) after each atom.
Atoms (fractional coordinates):
Cu1 0.0000 0.5000 0.5000  8 Ir 2.63, 2 Cu 2.68, 2 Co 2.68
Co1 0.5000 0.0000 0.5000  8 Ir 2.63, 2 Co 2.68, 2 Cu 2.68
Ir1 0.5000 0.5000 0.0000  4 Cu 2.63, 4 Co 2.63, 4 Ir 2.68
Ir2 0.0000 0.0000 0.0000  4 Co 2.63, 4 Cu 2.63, 4 Ir 2.68

Results
N(E_F) (states/eV/f.u.): 5.87
Calculated volume (Å³/atom): 13.1
Energy (eV per atom): -7.049
Energy above the lowest structure with this stoichiometry (eV/atom): 0.114


Respective formation energy values: 0.14; 0.10; 0.11; 0.26; 0.10; 0.12; 0.21; 0.18 eV per atom.